1.
Compound: MgBPt3
Source: the Alexandria database
Functional: PBE
Structure: optimized geometry Values from VASP.

```
&SYSTEM
  ibrav = 0, nat = 20, ntyp = 3
/
ATOMIC_SPECIES
B 10.81 B.upf
Mg 24.30 Mg.upf
Pt 195.08 Pt.upf
ATOMIC_POSITIONS angstrom
B 0.000 0.000 2.948
B 0.000 4.417 2.948
B 2.800 4.417 0.000
B 2.800 0.000 0.000
Mg 0.645 2.209 0.330
Mg 4.955 6.626 5.565
Mg 3.444 2.209 2.617
Mg 2.155 6.626 3.278
Pt 0.955 4.540 4.846
Pt 3.374 2.209 5.538
Pt 0.574 2.209 3.305
Pt 4.644 4.294 1.049
Pt 1.844 0.123 1.899
Pt 2.226 6.626 0.357
Pt 5.025 6.626 2.591
Pt 3.755 4.540 3.997
Pt 4.644 0.123 1.049
Pt 1.844 4.294 1.899
Pt 3.755 8.711 3.997
Pt 0.955 8.711 4.846
CELL_PARAMETERS angstrom
5.599 0.000 0.000
0.000 8.834 0.000
0.000 0.000 5.895
```

2.
Compound: MgBPt3
Source: the Alexandria database
Functional: PBE
Structure: optimized geometry Values from VASP.

```
&SYSTEM
  ibrav = 0, nat = 5, ntyp = 3
/
ATOMIC_SPECIES
Mg 24.30 Mg.upf
B 10.81 B.upf
Pt 195.08 Pt.upf
ATOMIC_POSITIONS angstrom
Mg -3.335 -1.807 4.928
B -2.830 -0.762 0.496
Pt -2.983 -1.902 2.352
Pt -1.573 0.580 1.434
Pt -4.489 0.337 1.045
CELL_PARAMETERS angstrom
-0.401 2.449 1.472
-2.292 3.254 -6.040
-3.226 -3.715 5.303
```

3.
Compound: Mg2BPt3
Source: the Alexandria database
Functional: PBE
Structure: optimized geometry Values from VASP.

```
&SYSTEM
  ibrav = 0, nat = 6, ntyp = 3
/
ATOMIC_SPECIES
Pt 195.08 Pt.upf
Mg 24.30 Mg.upf
B 10.81 B.upf
ATOMIC_POSITIONS angstrom
Pt 0.000 0.000 4.986
Pt 0.000 0.000 0.000
Pt 1.490 2.396 1.484
Mg 1.490 0.000 2.539
Mg 0.000 2.396 3.930
B 0.000 2.396 0.000
CELL_PARAMETERS angstrom
2.979 0.000 0.000
0.000 4.792 0.000
-1.490 -2.396 6.469
```

4.
Compound: MgBPt3
Source: the Alexandria database
Functional: PBE
Structure: optimized geometry Values from VASP.

```
&SYSTEM
  ibrav = 0, nat = 20, ntyp = 3
/
ATOMIC_SPECIES
Pt 195.08 Pt.upf
Mg 24.30 Mg.upf
B 10.81 B.upf
ATOMIC_POSITIONS angstrom
Pt 11.148 2.263 -0.843
Pt 14.003 1.427 -0.466
Pt -2.733 4.069 2.065
Pt 9.491 1.459 1.298
Pt 0.122 3.234 2.442
Pt -0.828 0.486 2.253
Pt 1.779 4.037 0.301
Pt 7.414 4.207 1.100
Pt 9.243 4.175 -1.031
Pt 12.098 5.011 -0.654
Pt 3.856 1.289 0.499
Pt 2.027 1.321 2.630
Mg 6.588 1.450 0.916
Mg 10.316 4.198 1.481
Mg 4.682 4.047 0.682
Mg 0.953 1.298 0.117
B 12.890 3.136 0.013
B 7.255 5.108 -0.786
B -1.620 2.360 1.586
B 4.015 0.388 2.385
CELL_PARAMETERS angstrom
17.611 0.000 -2.297
0.000 5.496 0.000
-6.341 0.000 3.895
```

5.
Compound: MgBPt3
Source: the Alexandria database
Functional: PBE
Structure: optimized geometry Values from VASP.

```
&SYSTEM
  ibrav = 0, nat = 10, ntyp = 3
/
ATOMIC_SPECIES
Mg 24.30 Mg.upf
B 10.81 B.upf
Pt 195.08 Pt.upf
ATOMIC_POSITIONS angstrom
Mg 4.886 -0.728 0.466
Mg 0.000 0.000 0.000
B 2.443 -0.364 0.233
B 7.328 -1.092 0.700
Pt 4.287 -0.817 -2.203
Pt 5.484 -0.639 3.135
Pt 3.617 -2.729 1.836
Pt 5.462 -3.182 -0.600
Pt 4.310 1.726 1.532
Pt 6.154 1.273 -0.903
CELL_PARAMETERS angstrom
3.186 1.409 4.007
2.668 -4.591 0.069
3.916 1.726 -3.144
```

6.
Compound: RbMgB2Pt
Source: the Alexandria database
Functional: PBE
Structure: optimized geometry Values from VASP.

```
&SYSTEM
  ibrav = 0, nat = 5, ntyp = 4
/
ATOMIC_SPECIES
Rb 85.47 Rb.upf
B 10.81 B.upf
Mg 24.30 Mg.upf
Pt 195.08 Pt.upf
ATOMIC_POSITIONS angstrom
Rb 0.000 0.000 0.000
B -0.693 2.200 -0.583
B 0.391 0.715 2.235
Mg -2.903 2.272 2.313
Pt -2.601 -0.644 0.661
CELL_PARAMETERS angstrom
-1.385 4.401 -1.166
-5.203 -1.287 1.322
0.782 1.430 4.471
```

ΔE_f
In order: -530 -36 -452 -482 -270 2618
Unit: meV per atom